Cr2AgP: optimized geometry, GGA-PBEsol.

a = 2.905 Å, b = 3.372 Å, c = 5.472 Å
α = 90.00°, β = 98.84°, γ = 90.00°
Space group P2/m (No. 10)
Unique sites:
1 Cr 0.076 0.000 0.318 (multiplicity 2)
2 Ag 0.500 0.500 0.000 (multiplicity 1)
3 P 0.500 0.500 0.500 (multiplicity 1)

Values from the calculation:
Crystal system: monoclinic
Formation energy from the elements (eV per atom): 0.163

=====

GaRe2Se: optimized geometry, GGA-PBEsol.

a = 6.114 Å, b = 6.114 Å, c = 6.114 Å
α = 90.00°, β = 90.00°, γ = 90.00°
Space group Fm-3m (No. 225)
Unique sites:
1 Ga 0.000 0.000 0.000 (multiplicity 4)
2 Re 0.250 0.250 0.250 (multiplicity 8)
3 Se 0.000 0.000 0.500 (multiplicity 4)

Values from the calculation:
Crystal system: cubic
Raw formation energy (eV/atom): 0.44

=====

no.,D(E_F) (states/eV per atom)
1,1.075
2,0.709